# 1
A relaxed structure of CeZnInNi. Source: Alexandria, functional PBE-GGA.

Structure (POSCAR):
```
CeZnInNi
1.0
6.7516 0.0000 0.0000
0.0000 6.7516 0.0000
0.0000 0.0000 6.7516
Ce Zn In Ni
4 4 4 4
Cartesian
0.0000 0.0000 0.0000
0.0000 3.3758 3.3758
3.3758 0.0000 3.3758
3.3758 3.3758 0.0000
1.6879 1.6879 5.0637
1.6879 5.0637 1.6879
5.0637 1.6879 1.6879
5.0637 5.0637 5.0637
0.0000 0.0000 3.3758
0.0000 3.3758 0.0000
3.3758 0.0000 0.0000
3.3758 3.3758 3.3758
1.6879 1.6879 1.6879
1.6879 5.0637 5.0637
5.0637 1.6879 5.0637
5.0637 5.0637 1.6879
```

Values from the calculation:
Symmetry: F-43m
Magnetization: 0.0 μB per formula unit
DFT formation energy: -318 meV/atom



# 2
A relaxed structure of Cs2MnCdBr6. Source: Alexandria, functional PBE-GGA.

Structure (POSCAR):
```
Cs2MnCdBr6
1.0
-3.9047 3.9047 5.5194
3.9047 -3.9047 5.5194
3.9047 3.9047 -5.5194
Cs Mn Cd Br
2 1 1 6
Cartesian
3.9047 0.0000 2.7597
0.0000 3.9047 2.7597
0.0000 0.0000 0.0000
0.0000 0.0000 5.5194
1.9052 1.9052 0.0000
1.9995 -1.9995 5.5194
0.0000 0.0000 2.7053
0.0000 0.0000 8.3335
-1.9995 1.9995 5.5194
1.9995 1.9995 5.5194
```

Values from the calculation:
Symmetry: I4/mmm
Energy relative to the lowest polymorph listed for this composition: 19 meV/atom
Magnetization: 5.0 μB per formula unit
Formation energy from raw total energies: -1213 meV/atom



# 3
A relaxed structure of Sm3ScSe6. Source: Alexandria, functional PBE-GGA.

Structure (POSCAR):
```
Sm3ScSe6
1.0
6.8677 0.0000 0.0000
0.0000 7.5739 0.0000
-6.5218 0.0000 10.3560
Sm Sc Se
6 2 12
Cartesian
0.0000 0.0000 0.0000
-3.2609 3.7870 5.1780
-2.8607 0.8070 7.8290
0.4002 2.9800 2.6510
-0.0543 4.5940 7.7050
3.2066 6.7669 2.5270
0.1730 0.0000 5.1780
3.4338 3.7870 0.0000
-0.9644 0.3891 2.7080
-4.2252 3.3978 7.8860
1.2717 5.1128 0.7990
-1.9891 6.2481 5.9770
2.3491 1.4307 0.7705
-0.9118 2.3563 5.9485
1.2577 5.2177 4.4075
-2.0032 6.1432 9.5856
2.3350 1.3258 4.3790
-0.9258 2.4611 9.5570
4.5711 4.1761 2.4700
1.3103 7.1848 7.6480
```

Values from the calculation:
Symmetry: P2_1/c
Energy relative to the lowest polymorph listed for this composition: 11 meV/atom
Magnetization: 0.0 μB per formula unit
Formation energy from raw total energies: -1807 meV/atom



# 4
A relaxed structure of SbIrOs2. Source: Alexandria, functional PBE-GGA.

Structure (POSCAR):
```
SbIrOs2
1.0
3.9897 0.0000 0.0000
0.0000 3.9897 0.0000
0.0000 0.0000 3.9721
Sb Ir Os
1 1 2
Cartesian
0.0000 0.0000 0.0000
1.9948 1.9948 0.0000
0.0000 1.9948 1.9860
1.9948 0.0000 1.9860
```

Values from the calculation:
Symmetry: P4/mmm
Magnetization: 0.0 μB per formula unit
Formation energy from raw total energies: 534 meV/atom



# 5
A relaxed structure of MgMo2P. Source: Alexandria, functional PBE-GGA.

Structure (POSCAR):
```
MgMo2P
1.0
3.3070 0.0000 0.0000
0.0000 4.3640 0.0000
0.0000 0.0000 8.4199
Mg Mo P
2 4 2
Cartesian
0.0000 0.0000 0.0000
1.6535 2.1820 4.2099
0.0000 0.0000 4.3718
0.0000 2.1820 6.4752
1.6535 0.0000 2.2653
1.6535 2.1820 0.1618
0.0000 2.1820 2.0499
1.6535 0.0000 6.2598
```

Values from the calculation:
Symmetry: Imm2
Energy relative to the lowest polymorph listed for this composition: 101 meV/atom
Magnetization: 0.0 μB per formula unit
DFT formation energy: 98 meV/atom



# 6
A relaxed structure of AlSnS2N. Source: Alexandria, functional PBE-GGA.

Structure (POSCAR):
```
AlSnS2N
1.0
4.8830 0.0000 0.0000
0.0000 4.8830 0.0000
0.0000 0.0000 3.7249
Al Sn S N
1 1 2 1
Cartesian
0.0000 0.0000 0.0000
2.4415 2.4415 1.8624
0.0000 2.4415 0.0000
2.4415 0.0000 0.0000
0.0000 0.0000 1.8624
```

Values from the calculation:
Symmetry: P4/mmm
Energy relative to the lowest polymorph listed for this composition: 0 meV/atom
Magnetization: 1.6 μB per formula unit
Formation energy from raw total energies: -3 meV/atom



Q: magnetization of number 1 (CeZnInNi)?
A: 0.0 μB per formula unit